[1]
# In2CuH2 PBE-GGA relaxed
data_In2CuH2
_chemical_formula_sum 'In2 Cu1 H2'
_cell_length_a 6.861
_cell_length_b 6.861
_cell_length_c 6.861
_cell_angle_alpha 152.24
_cell_angle_beta 152.24
_cell_angle_gamma 39.66
_space_group_name_H-M_alt 'P 1'
_space_group_IT_number 1
loop_
_space_group_symop_operation_xyz
'x,y,z'
loop_
_atom_site_label
_atom_site_fract_x
_atom_site_fract_y
_atom_site_fract_z
In1 0.133 0.133 0.000
In2 0.867 0.867 0.000
Cu1 0.500 0.500 0.000
H1 0.250 0.750 0.500
H2 0.750 0.250 0.500
# - E_tot (eV per cell) = -14.40
# - symmetry = I4/mmm (139)

***

[2]
# In2CuH2 PBE-GGA relaxed
data_In2CuH2
_chemical_formula_sum 'In4 Cu2 H4'
_cell_length_a 5.868
_cell_length_b 5.868
_cell_length_c 4.268
_cell_angle_alpha 90.00
_cell_angle_beta 90.00
_cell_angle_gamma 90.00
_space_group_name_H-M_alt 'P 1'
_space_group_IT_number 1
loop_
_space_group_symop_operation_xyz
'x,y,z'
loop_
_atom_site_label
_atom_site_fract_x
_atom_site_fract_y
_atom_site_fract_z
In1 0.186 0.314 0.000
In2 0.314 0.814 0.000
In3 0.686 0.186 0.000
In4 0.814 0.686 0.000
Cu1 0.000 0.000 0.500
Cu2 0.500 0.500 0.500
H1 0.217 0.283 0.500
H2 0.283 0.783 0.500
H3 0.717 0.217 0.500
H4 0.783 0.717 0.500
# - E_tot (eV per cell) = -28.82
# - symmetry = P4/mbm (127)

***

[3]
# In3CuH PBE-GGA relaxed
data_In3CuH
_chemical_formula_sum 'In3 Cu1 H1'
_cell_length_a 4.618
_cell_length_b 4.618
_cell_length_c 4.618
_cell_angle_alpha 90.00
_cell_angle_beta 90.00
_cell_angle_gamma 90.00
_space_group_name_H-M_alt 'P 1'
_space_group_IT_number 1
loop_
_space_group_symop_operation_xyz
'x,y,z'
loop_
_atom_site_label
_atom_site_fract_x
_atom_site_fract_y
_atom_site_fract_z
In1 0.000 0.000 0.500
In2 0.000 0.500 0.000
In3 0.500 0.000 0.000
Cu1 0.500 0.500 0.500
H1 0.000 0.000 0.000
# - ΔE to the lowest computed polymorph (kJ/mol of atoms) = 0.00
# - symmetry = Pm-3m (221)

***

[4]
# In2Cu2H PBE-GGA relaxed
data_In2Cu2H
_chemical_formula_sum 'In4 Cu4 H2'
_cell_length_a 5.608
_cell_length_b 5.608
_cell_length_c 4.999
_cell_angle_alpha 90.00
_cell_angle_beta 90.00
_cell_angle_gamma 90.00
_space_group_name_H-M_alt 'P 1'
_space_group_IT_number 1
loop_
_space_group_symop_operation_xyz
'x,y,z'
loop_
_atom_site_label
_atom_site_fract_x
_atom_site_fract_y
_atom_site_fract_z
In1 0.182 0.318 0.000
In2 0.318 0.818 0.000
In3 0.682 0.182 0.000
In4 0.818 0.682 0.000
Cu1 0.169 0.669 0.500
Cu2 0.331 0.169 0.500
Cu3 0.669 0.831 0.500
Cu4 0.831 0.331 0.500
H1 0.000 0.000 0.500
H2 0.500 0.500 0.500
# - E_tot (eV per cell) = -30.60
# - symmetry = P4/mbm (127)